{"formula": "Sm9Dy11Ho4", "functional": "PBE", "state": "relaxed", "lattice_angstrom": [[-1.5804, 2.9347, -1.5677], [-1.9618, -7.9168, -12.8426], [-11.7178, -1.1643, 9.6330]], "species": ["Sm", "Sm", "Sm", "Sm", "Sm", "Sm", "Sm", "Sm", "Sm", "Ho", "Ho", "Ho", "Ho", "Dy", "Dy", "Dy", "Dy", "Dy", "Dy", "Dy", "Dy", "Dy", "Dy", "Dy"], "frac_coords": [[0.5000, 0.5000, 0.5000], [0.5000, 0.6300, 0.1639], [0.5000, 0.8361, 0.3700], [0.5000, 0.7864, 0.9336], [0.5000, 0.1639, 0.6300], [0.5000, 0.9336, 0.7864], [0.5000, 0.3700, 0.8361], [0.5000, 0.0664, 0.2136], [0.5000, 0.2136, 0.0664], [0.5000, 0.5552, 0.7564], [0.5000, 0.4448, 0.2436], [0.5000, 0.2436, 0.4448], [0.5000, 0.7564, 0.5552], [0.0000, 0.3679, 0.6321], [0.0000, 0.4057, 0.0446], [0.0000, 0.7095, 0.7095], [0.0000, 0.6321, 0.3679], [0.0000, 0.8388, 0.1612], [0.0000, 0.9554, 0.5943], [0.0000, 0.0446, 0.4057], [0.0000, 0.2905, 0.2905], [0.0000, 0.5943, 0.9554], [0.0000, 0.0000, 0.0000], [0.0000, 0.1612, 0.8388]], "rho_g_cm3": 8.1, "space_group": "Cmmm", "m_tot_mub_per_fu": 0.000, "n_ef_per_ev_atom": 1.290, "total_energy_ev_per_cell": -110.17}